Material: AsIr2Cl
Method: DFT, PBE-GGA
State: relaxed

Computed properties:
E_form (uncorrected) = 543 meV/atom
density of states at the Fermi level = 0.89 states/eV/atom
relative energy among the computed polymorphs = 290.2 meV/atom

```
AsIr2Cl
1.0
3.116 -0.002 0.000
-1.642 2.648 0.000
0.000 0.000 8.149
Ir As Cl
2 1 1
Cartesian
0.000 0.000 0.174
0.000 0.000 3.901
0.737 1.323 2.037
0.737 1.323 6.112
```